Entry 1:
VASP calculation (GGA-PBE) on an optimized crystal structure of LiAcAs2Pd.

a = 4.351 Å, b = 4.351 Å, c = 10.919 Å
α = 90.00°, β = 90.00°, γ = 90.00°
Space group I-4m2 (No. 119)
Inequivalent atoms, fractional coordinates:
Li1 0.000 0.000 0.000 (multiplicity 2)
Ac1 0.000 0.500 0.250 (multiplicity 2)
As1 0.000 0.500 0.628 (multiplicity 4)
Pd1 0.000 0.000 0.500 (multiplicity 2)

Values from the calculation:
As for the theoretical density: 7.9 g/cm3. For the total energy, the calculation gives -5.06 eV/atom. Its total moment is 0.0 μB per cell. The calculation puts the formation energy at -22.016 kcal/mol of atoms.

---

Entry 2:
VASP calculation (GGA-PBE) on an optimized crystal structure of Y5AlNi2.

a = 7.651 Å, b = 7.651 Å, c = 13.283 Å
α = 90.00°, β = 90.00°, γ = 90.00°
Space group I4/mcm (No. 140)
Inequivalent atoms, fractional coordinates:
Y1 0.000 0.000 0.000 (multiplicity 4)
Y2 0.162 0.338 0.138 (multiplicity 16)
Al1 0.000 0.000 0.250 (multiplicity 4)
Ni1 0.124 0.376 0.500 (multiplicity 8)

Values from the calculation:
As for the theoretical density: 5.0 g/cm3. For the total energy, the calculation gives -6.28 eV/atom. Its total moment is 0.0 μB per cell. The calculation puts the formation energy at -7.440 kcal/mol of atoms.